Compound: Li4Cr2Fe3O10
Source: Alexandria
Functional: GGA+U
Structure: optimized geometry

energy = -6.44 eV/atom
total magnetization = 20.000 μB per cell

Cell: 5.111 5.139 7.820 Å, 72.53 72.35 79.92°
Sites, in units of the cell vectors:
Li: 0.000 0.000 0.000
Li: 0.001 0.561 0.834
Li: 0.478 0.275 0.918
Li: 0.986 0.173 0.635
Cr: 0.502 0.890 0.710
Cr: 0.509 0.677 0.092
Fe: 0.002 0.787 0.398
Fe: 0.495 0.102 0.297
Fe: 0.504 0.477 0.516
O: 0.263 0.843 0.544
O: 0.266 0.995 0.167
O: 0.274 0.243 0.742
O: 0.281 0.457 0.345
O: 0.289 0.667 0.946
O: 0.719 0.348 0.069
O: 0.732 0.117 0.468
O: 0.732 0.753 0.260
O: 0.733 0.913 0.868
O: 0.759 0.561 0.634